Computed, not measured: an optimized crystal structure of Mg2GeWF at the PBE+U level of DFT.

Total energy = -0.230 Ry per atom
M_tot = 5.1 μB/f.u.

```
Mg2GeWF
1.0
5.279 0.000 0.000
0.000 4.172 0.000
0.000 0.000 5.279
W F Ge Mg
1 1 1 2
Direct
0.500 0.500 0.500
0.000 0.500 0.000
0.000 0.000 0.000
0.000 0.000 0.500
0.500 0.000 0.000
```